Model one:
Computed, not measured: a relaxed structure of RbMg6Ti at the PBE level of DFT.

Summary:
- calculated density (g cm⁻³) = 2.2
- calculated volume (Å³ per atom) = 26.697
- density of states at the Fermi level (states/eV/cell) = 7.28
- M_tot (μB/f.u.) = 1.946
- crystal system = tetragonal

Unit cell a=7.1886 b=7.1886 c=4.1330 alpha=90.00 beta=90.00 gamma=90.00
Closest atoms and distances in Å follow each position.
Element x y z (fractional)
1 Rb 0.5000 0.5000 0.5000  12 Mg 3.59
2 Mg 0.5000 0.0000 0.5000  8 Mg 3.30, 2 Rb 3.59, 2 Ti 3.59
3 Mg 0.0000 0.5000 0.5000  8 Mg 3.30, 2 Rb 3.59, 2 Ti 3.59
4 Mg 0.7890 0.2110 0.0000  2 Ti 2.98, 6 Mg 3.03-3.30
5 Mg 0.2110 0.7890 0.0000  2 Ti 2.98, 6 Mg 3.03-3.30
6 Mg 0.2110 0.2110 0.0000  2 Ti 2.98, 6 Mg 3.03-3.30
7 Mg 0.7890 0.7890 0.0000  2 Ti 2.98, 6 Mg 3.03-3.30
8 Ti 0.0000 0.0000 0.5000  8 Mg 2.98

=====

Model two:
Computed, not measured: a relaxed structure of RbMg6Ti at the PBE level of DFT.

Summary:
- calculated density (g cm⁻³) = 2.3
- calculated volume (Å³ per atom) = 25.591
- density of states at the Fermi level (states/eV/cell) = 4.90
- M_tot (μB/f.u.) = 1.942
- crystal system = orthorhombic

Unit cell a=6.6679 b=6.6679 c=5.3157 alpha=90.00 beta=90.00 gamma=119.98
Closest atoms and distances in Å follow each position.
Element x y z (fractional)
1 Rb 0.4171 0.5829 0.5000  12 Mg 3.33-3.36
2 Mg 0.5943 0.9387 0.0000  6 Mg 3.11-3.29, 2 Ti 3.34, 2 Rb 3.36
3 Mg 0.0613 0.4057 0.0000  6 Mg 3.11-3.29, 2 Ti 3.34, 2 Rb 3.36
4 Mg 0.5947 0.4053 0.0000  6 Mg 3.11-3.29, 2 Ti 3.34, 2 Rb 3.36
5 Mg 0.9282 0.6055 0.5000  6 Mg 3.11-3.29, 2 Ti 3.21, 2 Rb 3.33-3.34
6 Mg 0.3945 0.0718 0.5000  6 Mg 3.11-3.29, 2 Ti 3.21, 2 Rb 3.33-3.34
7 Mg 0.9267 0.0733 0.5000  6 Mg 3.12-3.29, 2 Ti 3.21, 2 Rb 3.34
8 Ti 0.0832 0.9168 0.0000  12 Mg 3.21-3.34

=====

Which structure wins on stability? model one wins.

=====

Model one:
Computed, not measured: a relaxed structure of RbMg3Ti at the PBE level of DFT.

Summary:
- calculated density (g cm⁻³) = 1.8
- calculated volume (Å³ per atom) = 37.037
- density of states at the Fermi level (states/eV/cell) = 6.13
- M_tot (μB/f.u.) = 3.946
- crystal system = cubic

Unit cell a=5.6999 b=5.6999 c=5.6999 alpha=90.00 beta=90.00 gamma=90.00
Closest atoms and distances in Å follow each position.
Element x y z (fractional)
1 Mg 0.0000 0.5000 0.0000  2 Ti 2.85
2 Mg 0.0000 0.0000 0.5000  2 Ti 2.85
3 Mg 0.5000 0.0000 0.0000  2 Ti 2.85
4 Rb 0.5000 0.5000 0.5000  12 Mg 4.03
5 Ti 0.0000 0.0000 0.0000  6 Mg 2.85

=====

Model two:
Computed, not measured: a relaxed structure of RbMg3Ti at the PBE level of DFT.

Summary:
- calculated density (g cm⁻³) = 1.6
- calculated volume (Å³ per atom) = 41.858
- density of states at the Fermi level (states/eV/cell) = 5.18
- M_tot (μB/f.u.) = 2.798
- crystal system = cubic

Unit cell a=5.9372 b=5.9372 c=5.9372 alpha=90.00 beta=90.00 gamma=90.00
Closest atoms and distances in Å follow each position.
Element x y z (fractional)
1 Mg 0.0000 0.5000 0.0000  2 Rb 2.97
2 Mg 0.0000 0.0000 0.5000  2 Rb 2.97
3 Mg 0.5000 0.0000 0.0000  2 Rb 2.97
4 Rb 0.0000 0.0000 0.0000  6 Mg 2.97
5 Ti 0.5000 0.5000 0.5000  12 Mg 4.20

=====

Which structure wins on stability? model one wins.